Record 1
A geometry-optimized Li2MgCd2Ag5 structure. Source: Alexandria, functional GGA-PBE.

As for the formation energy: -1.10 eV per formula unit. The calculation puts the final energy at -22.6 eV per formula unit.

The space group is P4/mbm (No. 127) and the conventional cell measures 9.342, 9.342 and 4.190 Å, with angles of 90.00, 90.00 and 90.00 degrees. The inequivalent atoms are Li at (0.124, 0.376, 0.000), Mg at (0.000, 0.000, 0.000), Cd at (0.172, 0.672, 0.000), Ag at (0.000, 0.500, 0.500) and Ag at (0.083, 0.199, 0.500).

***

Record 2
A geometry-optimized Li2MgCd5Ag structure. Source: Alexandria, functional GGA-PBE.

As for the formation energy: -0.24 eV per formula unit. The calculation puts the final energy at -13.1 eV per formula unit.

The space group is I4/mcm (No. 140) and the conventional cell measures 8.070, 8.070 and 11.673 Å, with angles of 90.00, 90.00 and 90.00 degrees. The inequivalent atoms are Li at (0.104, 0.396, 0.000), Mg at (0.000, 0.000, 0.250), Cd at (0.000, 0.000, 0.000), Cd at (0.207, 0.293, 0.370) and Ag at (0.000, 0.500, 0.250).